[1]
! PBE PmPrAu, relaxed; values from VASP
! space-group type: No. 62
! DFT total energy: -4.8239 eV/atom
! theoretical density: 9.2 g cm⁻³
! energy of formation from the pure elements: -1.69 eV per formula unit
! size of the total moment: 0.0 μB/f.u.
&SYSTEM
  ibrav = 0, nat = 12, ntyp = 3
/
ATOMIC_SPECIES
Pr 140.91 Pr.upf
Au 196.97 Au.upf
Pm 145.00 Pm.upf
CELL_PARAMETERS angstrom
7.3643 0.0000 0.0000
0.0000 5.0989 0.0000
0.0000 0.0000 9.2348
ATOMIC_POSITIONS angstrom
Pr 0.0562 1.2747 7.6029
Pr 3.6259 3.8242 2.9855
Pr 3.7383 1.2747 6.2493
Pr 7.3081 3.8242 1.6319
Au 1.8238 1.2747 0.8824
Au 5.5059 1.2747 3.7350
Au 1.8583 3.8242 5.4998
Au 5.5405 3.8242 8.3525
Pm 6.2508 3.8242 5.4023
Pm 4.7956 1.2747 0.7849
Pm 2.5687 3.8242 8.4500
Pm 1.1135 1.2747 3.8326

[2]
! PBE TmLuCu2Ge2, relaxed; values from VASP
! space-group type: No. 156
! DFT total energy: -4.9409 eV/atom
! theoretical density: 9.3 g cm⁻³
! size of the total moment: 0.0 μB/f.u.
&SYSTEM
  ibrav = 0, nat = 6, ntyp = 4
/
ATOMIC_SPECIES
Ge 72.64 Ge.upf
Lu 174.97 Lu.upf
Cu 63.55 Cu.upf
Tm 168.93 Tm.upf
CELL_PARAMETERS angstrom
-1.2142 0.9582 3.8918
-1.5399 -3.4018 -1.8961
5.4772 -3.9778 2.6883
ATOMIC_POSITIONS angstrom
Ge 1.3794 -3.9897 1.4127
Ge -1.2487 -0.5489 1.9988
Lu 1.3571 -0.9856 0.6661
Cu 1.2964 -2.3973 3.2480
Cu 3.9288 -5.8412 2.6640
Tm 4.0954 -2.9743 2.0101

[3]
! PBE GaCoTcHg, relaxed; values from VASP
! space-group type: No. 216
! DFT total energy: -4.6458 eV/atom
! theoretical density: 11.3 g cm⁻³
! size of the total moment: 2.9 μB/f.u.
&SYSTEM
  ibrav = 0, nat = 4, ntyp = 4
/
ATOMIC_SPECIES
Co 58.93 Co.upf
Ga 69.72 Ga.upf
Tc 98.00 Tc.upf
Hg 200.59 Hg.upf
CELL_PARAMETERS angstrom
0.0000 3.1570 3.1570
3.1570 0.0000 3.1570
3.1570 3.1570 0.0000
ATOMIC_POSITIONS angstrom
Co 4.7355 4.7355 4.7355
Ga 0.0000 0.0000 0.0000
Tc 3.1570 3.1570 3.1570
Hg 1.5785 1.5785 1.5785

[4]
! PBE TmSnAuS3, relaxed; values from VASP
! space-group type: No. 62
! DFT total energy: -4.9925 eV/atom
! theoretical density: 6.7 g cm⁻³
! size of the total moment: 0.0 μB/f.u.
&SYSTEM
  ibrav = 0, nat = 24, ntyp = 4
/
ATOMIC_SPECIES
S 32.06 S.upf
Sn 118.71 Sn.upf
Tm 168.93 Tm.upf
Au 196.97 Au.upf
CELL_PARAMETERS angstrom
11.5054 0.0000 0.0000
0.0000 3.9422 0.0000
0.0000 0.0000 12.7760
ATOMIC_POSITIONS angstrom
S 4.5913 0.9855 0.6981
S 6.0535 0.9855 3.8036
S 2.8058 0.9855 10.4426
S 11.2047 2.9567 10.1916
S 6.9141 2.9567 12.0779
S 10.3440 0.9855 5.6899
S 5.4519 2.9567 8.9724
S 8.6996 2.9567 2.3335
S 1.1614 2.9567 7.0862
S 0.3008 0.9855 2.5844
S 2.9469 2.9567 4.0545
S 8.5585 0.9855 8.7215
Sn 1.7799 2.9567 11.9012
Sn 7.5326 2.9567 7.2628
Sn 3.9728 0.9855 5.5132
Sn 9.7256 0.9855 0.8748
Tm 0.2752 2.9567 4.4653
Tm 6.0279 2.9567 1.9227
Tm 11.2302 0.9855 8.3107
Tm 5.4775 0.9855 10.8533
Au 9.1269 2.9567 11.2959
Au 2.3785 0.9855 1.4801
Au 3.3742 2.9567 7.8681
Au 8.1312 0.9855 4.9079

[5]
! PBE CoW3C2, relaxed; values from VASP
! space-group type: No. 194
! DFT total energy: -10.4603 eV/atom
! theoretical density: 14.8 g cm⁻³
! size of the total moment: 0.7 μB/f.u.
&SYSTEM
  ibrav = 0, nat = 12, ntyp = 3
/
ATOMIC_SPECIES
W 183.84 W.upf
C 12.01 C.upf
Co 58.93 Co.upf
CELL_PARAMETERS angstrom
-0.7547 -2.2303 1.8751
2.8313 1.0194 -0.0637
-4.1041 12.2034 12.8634
ATOMIC_POSITIONS angstrom
W 0.0000 0.0000 0.0000
W -1.0404 3.2567 5.8708
W -1.8971 10.4416 11.6562
W -0.1304 0.5509 3.0186
W -2.0520 6.1017 6.4317
W -0.9871 7.7358 8.8040
C -1.9102 5.8431 8.5970
C -0.1173 5.1494 6.0778
C 1.3372 0.8246 1.5190
C -3.3647 10.1679 13.1558
Co -1.0260 3.0509 3.2159
Co -3.0780 9.1526 9.6476

[6]
! PBE TmLuGa2I2, relaxed; values from VASP
! space-group type: No. 156
! DFT total energy: -3.9814 eV/atom
! theoretical density: 6.9 g cm⁻³
! size of the total moment: 0.0 μB/f.u.
&SYSTEM
  ibrav = 0, nat = 6, ntyp = 4
/
ATOMIC_SPECIES
Ga 69.72 Ga.upf
Tm 168.93 Tm.upf
I 126.90 I.upf
Lu 174.97 Lu.upf
CELL_PARAMETERS angstrom
-2.1872 -3.3657 1.0334
0.5296 0.9824 -3.9918
10.0127 -6.5975 -0.2954
ATOMIC_POSITIONS angstrom
Ga 3.4394 -5.0271 -0.7809
Ga 4.9182 -3.9554 -2.4729
Tm 3.3572 -2.2121 -0.0990
I 7.0131 -7.3819 -0.8863
I 1.3394 -1.5973 -2.3673
Lu 6.6554 -4.3854 -0.1963

[7]
! PBE GdEr2As3, relaxed; values from VASP
! space-group type: No. 164
! DFT total energy: -6.1477 eV/atom
! theoretical density: 8.1 g cm⁻³
! size of the total moment: 0.0 μB/f.u.
&SYSTEM
  ibrav = 0, nat = 6, ntyp = 3
/
ATOMIC_SPECIES
As 74.92 As.upf
Er 167.26 Er.upf
Gd 157.25 Gd.upf
CELL_PARAMETERS angstrom
-2.2524 2.9941 -1.6703
-1.8420 -3.1570 1.8623
0.2088 5.0102 8.6995
ATOMIC_POSITIONS angstrom
As -1.9755 4.3060 5.3455
As -1.9101 0.5412 3.5461
As 0.0000 0.0000 0.0000
Er -2.0812 1.7684 0.9393
Er -1.8044 3.0788 7.9523
Gd 0.1044 2.5051 4.3498

[8]
! PBE ZrAg2Hg2, relaxed; values from VASP
! space-group type: No. 139
! DFT total energy: -2.7816 eV/atom
! theoretical density: 11.0 g cm⁻³
! energy of formation from the pure elements: 0.88 eV per formula unit
! size of the total moment: 0.0 μB/f.u.
&SYSTEM
  ibrav = 0, nat = 5, ntyp = 3
/
ATOMIC_SPECIES
Hg 200.59 Hg.upf
Ag 107.87 Ag.upf
Zr 91.22 Zr.upf
CELL_PARAMETERS angstrom
3.1442 -6.5715 0.8223
3.7562 -3.3108 5.3550
-5.8474 3.9260 -2.0348
ATOMIC_POSITIONS angstrom
Hg 4.1541 -5.9492 3.7188
Hg 2.7463 -3.9331 2.4585
Ag 0.3735 -3.7933 0.9381
Ag 0.6795 -2.1630 3.2044
Zr 0.0000 0.0000 0.0000

[9]
! PBE PaNb, relaxed; values from VASP
! space-group type: No. 225
! DFT total energy: -8.9300 eV/atom
! theoretical density: 11.6 g cm⁻³
! energy of formation from the pure elements: 1.73 eV per formula unit
! size of the total moment: 0.0 μB/f.u.
&SYSTEM
  ibrav = 0, nat = 2, ntyp = 2
/
ATOMIC_SPECIES
Pa 231.04 Pa.upf
Nb 92.91 Nb.upf
CELL_PARAMETERS angstrom
0.3133 -3.3504 -2.2163
-1.9188 -0.2651 -3.5331
2.0971 0.0489 -3.4402
ATOMIC_POSITIONS angstrom
Pa 0.2458 -1.7833 -4.5948
Nb 0.0000 0.0000 0.0000

[10]
! PBE YMgSbOs, relaxed; values from VASP
! space-group type: No. 216
! DFT total energy: -5.8338 eV/atom
! theoretical density: 8.5 g cm⁻³
! size of the total moment: 0.0 μB/f.u.
&SYSTEM
  ibrav = 0, nat = 4, ntyp = 4
/
ATOMIC_SPECIES
Y 88.91 Y.upf
Os 190.23 Os.upf
Mg 24.30 Mg.upf
Sb 121.76 Sb.upf
CELL_PARAMETERS angstrom
0.0000 3.4581 3.4581
3.4581 0.0000 3.4581
3.4581 3.4581 0.0000
ATOMIC_POSITIONS angstrom
Y 1.7290 1.7290 1.7290
Os 3.4581 3.4581 3.4581
Mg 5.1871 5.1871 5.1871
Sb 0.0000 0.0000 0.0000

[11]
! PBE ZnH20S2N2O14, relaxed; values from VASP
! space-group type: No. 14
! DFT total energy: -5.2081 eV/atom
! theoretical density: 2.1 g cm⁻³
&SYSTEM
  ibrav = 0, nat = 78, ntyp = 5
/
ATOMIC_SPECIES
O 16.00 O.upf
H 1.01 H.upf
Zn 65.41 Zn.upf
S 32.06 S.upf
N 14.01 N.upf
CELL_PARAMETERS angstrom
6.0910 0.0000 0.0000
0.0000 12.0316 0.0000
-2.6527 0.0000 8.5098
ATOMIC_POSITIONS angstrom
O -0.0142 3.9216 0.8973
O 3.0204 11.2828 2.3295
O 5.3366 1.3904 1.3998
O -0.7911 7.4140 5.7484
O 3.4525 8.1100 7.6125
O 1.6941 6.7645 6.5844
O 2.8704 6.8318 4.1501
O -1.3405 2.0942 5.1522
O 4.0102 4.6254 5.6547
O 1.1153 8.6752 7.9441
O 4.6715 6.6714 0.4720
O 0.0932 0.6556 3.7829
O -1.2332 5.3602 8.0378
O 1.7443 5.2670 1.9254
O -1.8982 10.6412 7.1099
O 0.9967 2.6594 4.8206
O -0.5719 7.4062 2.8550
O 4.2294 4.6176 2.7614
O 4.7789 9.9374 3.3576
O 0.4179 0.7487 6.1803
O 1.8943 0.8160 0.1047
O 0.5353 10.6334 1.4935
O 2.9031 1.3982 7.0162
O 3.3452 11.3760 4.7268
O 2.4417 9.3722 3.6892
O 2.3230 3.3564 0.5657
O 0.5680 5.1998 4.3596
O 1.5440 11.2156 8.4050
H 5.1873 7.1682 1.9433
H 2.8970 0.9680 2.6863
H 3.5545 1.4950 6.2782
H 1.9351 1.8019 0.2421
H 0.4588 9.4531 6.3485
H 4.3413 3.7105 5.4631
H 0.5414 11.0635 5.8234
H 2.4402 3.9180 7.8470
H 1.7851 8.5943 2.0936
H -0.9029 8.3211 3.0466
H -0.3282 9.9338 4.9176
H 5.6676 2.3053 1.2083
H 0.7834 3.8110 7.8302
H 3.7665 2.0978 3.5921
H 3.8609 10.8792 6.1982
H 3.7227 11.3705 0.7522
H 4.8808 4.5208 2.0233
H -0.1161 10.5366 2.2316
H 1.3935 10.9403 1.8853
H 1.8677 6.9838 1.5685
H 2.0448 1.0912 6.6245
H 3.3712 4.9245 2.3696
H 2.1098 2.2048 3.5753
H -0.4226 1.1524 2.3115
H 0.6088 4.2139 4.4970
H -2.2293 9.7263 7.3015
H 1.6532 3.4373 6.4162
H 0.0672 7.1070 6.1402
H 2.6549 8.2206 0.6795
H 1.3286 9.8268 4.9344
H 0.9982 8.1136 0.6627
H -0.2843 0.6611 7.7576
H 2.9796 2.5785 2.1613
H 2.8296 7.8177 4.0128
H -1.7489 4.8634 6.5664
H -1.4425 7.5108 6.4865
H 1.5706 5.0477 6.9412
H 1.5032 10.2297 8.2677
H 2.3964 6.6769 5.0071
H 1.0420 5.3547 3.5027
Zn 0.0000 0.0000 0.0000
Zn -1.3263 6.0158 4.2549
S 0.0259 1.5235 4.9667
S 1.3523 4.4923 0.7118
S 3.4124 10.5081 3.5431
S 2.0861 7.5393 7.7980
N 0.5022 10.0679 5.5215
N 1.8285 7.9795 1.2666
N 1.6098 4.0521 7.2431
N 2.9362 1.9637 2.9882

[12]
! PBE Dy2P, relaxed; values from VASP
! space-group type: No. 227
! DFT total energy: -4.5309 eV/atom
! theoretical density: 7.9 g cm⁻³
! size of the total moment: 0.0 μB/f.u.
&SYSTEM
  ibrav = 0, nat = 6, ntyp = 2
/
ATOMIC_SPECIES
Dy 162.50 Dy.upf
P 30.97 P.upf
CELL_PARAMETERS angstrom
0.0000 4.2185 4.2185
4.2185 0.0000 4.2185
4.2185 4.2185 0.0000
ATOMIC_POSITIONS angstrom
Dy 3.1638 5.2731 3.1638
Dy 5.2731 3.1638 3.1638
Dy 3.1638 3.1638 5.2731
Dy 5.2731 5.2731 5.2731
P 2.1092 2.1092 2.1092
P 0.0000 0.0000 0.0000